BeZnPt | PBEsol | optimized geometry

It has space group F-43m (No. 216), with a = 5.391 Å, b = 5.391 Å, c = 5.391 Å, α = 90.00°, β = 90.00° and γ = 90.00°. Symmetry generates all atoms from Be at (0.000, 0.000, 0.000), Zn at (0.250, 0.250, 0.250) and Pt at (0.250, 0.250, 0.750).

The value obtained for the energy relative to the elements is -0.334 eV per atom. For the total moment, the calculation gives 0.0 μB per cell. The calculation puts the volume at 13.1 Å³/atom.

ZrBePt | PBEsol | optimized geometry

It has space group P-6m2 (No. 187), with a = 4.0990 Å, b = 4.0990 Å, c = 3.1524 Å, α = 90.00°, β = 90.00° and γ = 120.00°. Symmetry generates all atoms from Zr at (0.0000, 0.0000, 0.0000), Be at (0.6667, 0.3333, 0.5000) and Pt at (0.3333, 0.6667, 0.5000).

The value obtained for the energy relative to the elements is -0.719 eV per atom. For the total moment, the calculation gives 0.0 μB per cell. The energy relative to the lowest polymorph listed for this composition is 0 meV per atom. The calculation puts the volume at 15.3 Å³/atom.

ZrBePt2 | PBEsol | optimized geometry

It has space group P4/mmm (No. 123), with a = 3.978 Å, b = 3.978 Å, c = 3.813 Å, α = 90.00°, β = 90.00° and γ = 90.00°. Symmetry generates all atoms from Zr at (0.000, 0.000, 0.000), Be at (0.500, 0.500, 0.000) and Pt at (0.000, 0.500, 0.500).

The value obtained for the energy relative to the elements is -0.615 eV per atom. For the total moment, the calculation gives 0.0 μB per cell. The calculation puts the volume at 15.1 Å³/atom.

ZrBePt2 | PBEsol | optimized geometry

It has space group P4/mmm (No. 123), with a = 2.851 Å, b = 2.851 Å, c = 7.006 Å, α = 90.00°, β = 90.00° and γ = 90.00°. Symmetry generates all atoms from Zr at (0.000, 0.000, 0.000), Be at (0.000, 0.000, 0.500) and Pt at (0.500, 0.500, 0.298).

The value obtained for the energy relative to the elements is -0.868 eV per atom. For the total moment, the calculation gives 0.0 μB per cell. The calculation puts the volume at 14.2 Å³/atom.

Zr2BePt | PBEsol | optimized geometry

It has space group Imm2 (No. 44), with a = 3.261 Å, b = 4.334 Å, c = 9.728 Å, α = 90.00°, β = 90.00° and γ = 90.00°. Symmetry generates all atoms from Zr at (0.000, 0.000, 0.000), Zr at (0.000, 0.500, 0.232), Be at (0.000, 0.500, 0.793) and Pt at (0.000, 0.000, 0.469).

The value obtained for the energy relative to the elements is -0.461 eV per atom. For the total moment, the calculation gives 0.0 μB per cell. The calculation puts the volume at 17.2 Å³/atom.

ZrBePt2 | PBEsol | optimized geometry

It has space group I-4m2 (No. 119), with a = 3.845 Å, b = 3.845 Å, c = 8.163 Å, α = 90.00°, β = 90.00° and γ = 90.00°. Symmetry generates all atoms from Zr at (0.000, 0.000, 0.000), Be at (0.000, 0.500, 0.250), Pt at (0.000, 0.000, 0.500) and Pt at (0.000, 0.500, 0.750).

The value obtained for the energy relative to the elements is -0.694 eV per atom. For the total moment, the calculation gives 0.0 μB per cell. The calculation puts the volume at 15.1 Å³/atom.

Zr2BePt | PBEsol | optimized geometry

It has space group P4/mmm (No. 123), with a = 4.326 Å, b = 4.326 Å, c = 3.623 Å, α = 90.00°, β = 90.00° and γ = 90.00°. Symmetry generates all atoms from Zr at (0.000, 0.500, 0.000), Be at (0.000, 0.000, 0.500) and Pt at (0.500, 0.500, 0.500).

The value obtained for the energy relative to the elements is -0.477 eV per atom. For the total moment, the calculation gives 0.0 μB per cell. The calculation puts the volume at 17.0 Å³/atom.

ZrBePt | PBEsol | optimized geometry

It has space group Imm2 (No. 44), with a = 2.829 Å, b = 3.144 Å, c = 9.944 Å, α = 90.00°, β = 90.00° and γ = 90.00°. Symmetry generates all atoms from Zr at (0.000, 0.000, 0.000), Be at (0.000, 0.000, 0.308) and Pt at (0.000, 0.000, 0.701).

The value obtained for the energy relative to the elements is -0.615 eV per atom. For the total moment, the calculation gives 0.0 μB per cell. The energy relative to the lowest polymorph listed for this composition is 104 meV per atom. The calculation puts the volume at 14.7 Å³/atom.

Zr2Be2Pt | PBEsol | optimized geometry

It has space group P4/mbm (No. 127), with a = 6.343 Å, b = 6.343 Å, c = 3.661 Å, α = 90.00°, β = 90.00° and γ = 90.00°. Symmetry generates all atoms from Zr at (0.174, 0.326, 0.000), Be at (0.123, 0.623, 0.500) and Pt at (0.000, 0.000, 0.500).

The value obtained for the energy relative to the elements is -0.607 eV per atom. For the total moment, the calculation gives 0.0 μB per cell. The calculation puts the volume at 14.7 Å³/atom.

Zr2BePt | PBEsol | optimized geometry

It has space group Amm2 (No. 38), with a = 3.977 Å, b = 3.436 Å, c = 10.142 Å, α = 90.00°, β = 90.00° and γ = 90.00°. Symmetry generates all atoms from Zr at (0.000, 0.000, 0.000), Zr at (0.500, 0.000, 0.299), Be at (0.000, 0.000, 0.728) and Pt at (0.500, 0.000, 0.585).

The value obtained for the energy relative to the elements is -0.579 eV per atom. For the total moment, the calculation gives 0.0 μB per cell. The calculation puts the volume at 17.3 Å³/atom.

PuBe13 | PBEsol | optimized geometry

It has space group Fm-3c (No. 226), with a = 10.142 Å, b = 10.142 Å, c = 10.142 Å, α = 90.00°, β = 90.00° and γ = 90.00°. Symmetry generates all atoms from Pu at (0.250, 0.250, 0.250), Be at (0.000, 0.000, 0.000) and Be at (0.000, 0.115, 0.176).

The value obtained for the energy relative to the elements is -0.065 eV per atom. For the total moment, the calculation gives 44.2 μB per cell. The calculation puts the volume at 9.3 Å³/atom.

RbTi2BeRe | PBEsol | optimized geometry

It has space group P4/mmm (No. 123), with a = 4.691 Å, b = 4.691 Å, c = 4.235 Å, α = 90.00°, β = 90.00° and γ = 90.00°. Symmetry generates all atoms from Rb at (0.000, 0.000, 0.000), Ti at (0.000, 0.500, 0.500), Be at (0.500, 0.500, 0.500) and Re at (0.500, 0.500, 0.000).

The value obtained for the energy relative to the elements is 1.295 eV per atom. For the total moment, the calculation gives 0.0 μB per cell. The calculation puts the volume at 18.6 Å³/atom.

RbBe2Rh | PBEsol | optimized geometry

It has space group I4_1/amd (No. 141, origin choice 2), with a = 5.320 Å, b = 5.320 Å, c = 13.154 Å, α = 90.00°, β = 90.00° and γ = 90.00°. Symmetry generates all atoms from Rb at (0.000, 0.250, 0.375), Be at (0.000, 0.000, 0.000) and Rh at (0.000, 0.250, 0.875).

The value obtained for the energy relative to the elements is 0.498 eV per atom. For the total moment, the calculation gives 0.0 μB per cell. The calculation puts the volume at 23.3 Å³/atom.

Rb3BeRh | PBEsol | optimized geometry

It has space group Pm-3m (No. 221), with a = 6.163 Å, b = 6.163 Å, c = 6.163 Å, α = 90.00°, β = 90.00° and γ = 90.00°. Symmetry generates all atoms from Rb at (0.000, 0.000, 0.500), Be at (0.000, 0.000, 0.000) and Rh at (0.500, 0.500, 0.500).

The value obtained for the energy relative to the elements is 1.422 eV per atom. For the total moment, the calculation gives 1.3 μB per cell. The calculation puts the volume at 46.8 Å³/atom.

RbBeS2 | PBEsol | optimized geometry

It has space group I4_1/amd (No. 141, origin choice 2), with a = 5.606 Å, b = 5.606 Å, c = 12.059 Å, α = 90.00°, β = 90.00° and γ = 90.00°. Symmetry generates all atoms from Rb at (0.000, 0.250, 0.375), Be at (0.000, 0.250, 0.875) and S at (0.000, 0.000, 0.000).

The raw formation energy is -0.8028 eV/atom. For the total moment, the calculation gives 0.0 μB per cell. The calculation puts the volume at 23.7 Å³/atom.

Rb2BeS | PBEsol | optimized geometry

It has space group I-42d (No. 122), with a = 5.882 Å, b = 5.882 Å, c = 19.625 Å, α = 90.00°, β = 90.00° and γ = 90.00°. Symmetry generates all atoms from Rb at (0.213, 0.250, 0.125), Be at (0.000, 0.000, 0.500) and S at (0.000, 0.000, 0.000).

The raw formation energy is 0.4168 eV/atom. For the total moment, the calculation gives 0.0 μB per cell. The calculation puts the volume at 42.4 Å³/atom.

RbBeSb2S | PBEsol | optimized geometry

It has space group P4/mmm (No. 123), with a = 5.895 Å, b = 5.895 Å, c = 5.321 Å, α = 90.00°, β = 90.00° and γ = 90.00°. Symmetry generates all atoms from Rb at (0.000, 0.000, 0.000), Be at (0.500, 0.500, 0.500), Sb at (0.000, 0.500, 0.000) and S at (0.000, 0.000, 0.500).

The raw formation energy is 1.8732 eV/atom. For the total moment, the calculation gives 0.0 μB per cell. The calculation puts the volume at 37.0 Å³/atom.

RbBe2Sb2 | PBEsol | optimized geometry

It has space group I4/mmm (No. 139), with a = 3.817 Å, b = 3.817 Å, c = 16.585 Å, α = 90.00°, β = 90.00° and γ = 90.00°. Symmetry generates all atoms from Rb at (0.000, 0.000, 0.000), Be at (0.000, 0.500, 0.250) and Sb at (0.000, 0.000, 0.347).

The raw formation energy is -0.1014 eV/atom. For the total moment, the calculation gives 0.0 μB per cell. The calculation puts the volume at 24.2 Å³/atom.

Rb3BeSe | PBEsol | optimized geometry

It has space group Pm-3m (No. 221), with a = 5.987 Å, b = 5.987 Å, c = 5.987 Å, α = 90.00°, β = 90.00° and γ = 90.00°. Symmetry generates all atoms from Rb at (0.000, 0.000, 0.500), Be at (0.000, 0.000, 0.000) and Se at (0.500, 0.500, 0.500).

The raw formation energy is 0.3446 eV/atom. For the total moment, the calculation gives 0.9 μB per cell. The calculation puts the volume at 42.9 Å³/atom.

Rb2BeSe | PBEsol | optimized geometry

It has space group Fm-3m (No. 225), with a = 8.028 Å, b = 8.028 Å, c = 8.028 Å, α = 90.00°, β = 90.00° and γ = 90.00°. Symmetry generates all atoms from Rb at (0.250, 0.250, 0.250), Be at (0.000, 0.000, 0.000) and Se at (0.000, 0.000, 0.500).

The raw formation energy is 0.0568 eV/atom. For the total moment, the calculation gives 0.0 μB per cell. The calculation puts the volume at 32.3 Å³/atom.

RbBe2Si2 | PBEsol | optimized geometry

It has space group I4/mmm (No. 139), with a = 4.122 Å, b = 4.122 Å, c = 10.031 Å, α = 90.00°, β = 90.00° and γ = 90.00°. Symmetry generates all atoms from Rb at (0.000, 0.000, 0.000), Be at (0.000, 0.500, 0.250) and Si at (0.000, 0.000, 0.372).

The raw formation energy is 0.2839 eV/atom. For the total moment, the calculation gives 0.0 μB per cell. The calculation puts the volume at 17.0 Å³/atom.

RbBe3Sn | PBEsol | optimized geometry

It has space group Pm-3m (No. 221), with a = 5.071 Å, b = 5.071 Å, c = 5.071 Å, α = 90.00°, β = 90.00° and γ = 90.00°. Symmetry generates all atoms from Rb at (0.000, 0.000, 0.000), Be at (0.000, 0.000, 0.500) and Sn at (0.500, 0.500, 0.500).

The value obtained for the energy relative to the elements is 2.302 eV per atom. For the total moment, the calculation gives 0.0 μB per cell. The calculation puts the volume at 26.1 Å³/atom.

RbSrBeZn2 | PBEsol | optimized geometry

It has space group P4/mmm (No. 123), with a = 5.681 Å, b = 5.681 Å, c = 6.970 Å, α = 90.00°, β = 90.00° and γ = 90.00°. Symmetry generates all atoms from Rb at (0.000, 0.000, 0.000), Sr at (0.000, 0.000, 0.500), Be at (0.500, 0.500, 0.500) and Zn at (0.000, 0.500, 0.000).

The value obtained for the energy relative to the elements is 1.475 eV per atom. For the total moment, the calculation gives 0.0 μB per cell. The calculation puts the volume at 45.0 Å³/atom.

RbTa3Be | PBEsol | optimized geometry

It has space group Pm-3m (No. 221), with a = 4.689 Å, b = 4.689 Å, c = 4.689 Å, α = 90.00°, β = 90.00° and γ = 90.00°. Symmetry generates all atoms from Rb at (0.000, 0.000, 0.000), Ta at (0.000, 0.000, 0.500) and Be at (0.500, 0.500, 0.500).

The value obtained for the energy relative to the elements is 3.366 eV per atom. For the total moment, the calculation gives 0.0 μB per cell. The calculation puts the volume at 20.6 Å³/atom.

RbBe3Te | PBEsol | optimized geometry

It has space group Pm-3m (No. 221), with a = 5.212 Å, b = 5.212 Å, c = 5.212 Å, α = 90.00°, β = 90.00° and γ = 90.00°. Symmetry generates all atoms from Rb at (0.000, 0.000, 0.000), Be at (0.000, 0.000, 0.500) and Te at (0.500, 0.500, 0.500).

The raw formation energy is 2.2702 eV/atom. For the total moment, the calculation gives 0.0 μB per cell. The calculation puts the volume at 28.3 Å³/atom.

Rb3BeTe | PBEsol | optimized geometry

It has space group Pm-3m (No. 221), with a = 6.081 Å, b = 6.081 Å, c = 6.081 Å, α = 90.00°, β = 90.00° and γ = 90.00°. Symmetry generates all atoms from Rb at (0.000, 0.000, 0.500), Be at (0.000, 0.000, 0.000) and Te at (0.500, 0.500, 0.500).

The raw formation energy is 0.2706 eV/atom. For the total moment, the calculation gives 0.9 μB per cell. The calculation puts the volume at 45.0 Å³/atom.

RbTiBe3 | PBEsol | optimized geometry

It has space group Pm-3m (No. 221), with a = 4.542 Å, b = 4.542 Å, c = 4.542 Å, α = 90.00°, β = 90.00° and γ = 90.00°. Symmetry generates all atoms from Rb at (0.000, 0.000, 0.000), Ti at (0.500, 0.500, 0.500) and Be at (0.000, 0.000, 0.500).

The value obtained for the energy relative to the elements is 2.489 eV per atom. For the total moment, the calculation gives 0.0 μB per cell. The calculation puts the volume at 18.7 Å³/atom.